{"formula": "CsBe2CrCl8", "functional": "GGA-PBE", "state": "relaxed", "e_form_raw_ev_per_atom": -1.39, "cell": [[2.992, 1.728, 10.151], [-2.992, 1.728, 10.151], [0.000, -3.455, 10.151]], "species": ["Cs", "Be", "Be", "Cr", "Cl", "Cl", "Cl", "Cl", "Cl", "Cl", "Cl", "Cl"], "frac_coords": [[0.000, 0.000, 0.000], [0.233, 0.233, 0.233], [0.767, 0.767, 0.767], [0.500, 0.500, 0.500], [0.126, 0.469, 0.767], [0.233, 0.874, 0.531], [0.298, 0.298, 0.298], [0.469, 0.767, 0.126], [0.531, 0.233, 0.874], [0.702, 0.702, 0.702], [0.767, 0.126, 0.469], [0.874, 0.531, 0.233]]}